1.
ScAlCo (PBE, relaxed); theoretical density = 4.026 Mg/m³; SG = F-43m; crystal system = cubic; E_tot = -16.5 eV for the cell shown
1.0
0.000 3.000 3.000
3.000 0.000 3.000
3.000 3.000 0.000
Sc Al Co
1 1 1
direct
0.000 0.000 0.000
0.750 0.750 0.750
0.500 0.500 0.500


2.
BaBeFe (PBE, relaxed); theoretical density = 4.443 Mg/m³; SG = F-43m; crystal system = cubic; E_tot = -10.6 eV for the cell shown
1.0
0.000 3.356 3.356
3.356 0.000 3.356
3.356 3.356 0.000
Ba Be Fe
1 1 1
direct
0.000 0.000 0.000
0.500 0.500 0.500
0.250 0.250 0.250


3.
GdHfPd (PBE, relaxed); energy of formation from the pure elements = 0.6189 eV per atom; theoretical density = 10.235 Mg/m³; SG = F-43m; crystal system = cubic; E_tot = -17.9 eV for the cell shown
1.0
0.000 3.298 3.298
3.298 0.000 3.298
3.298 3.298 0.000
Gd Hf Pd
1 1 1
direct
0.000 0.000 0.000
0.750 0.750 0.750
0.250 0.250 0.250


4.
Sn2W (PBE, relaxed); theoretical density = 10.284 Mg/m³; SG = Fd-3m; crystal system = cubic; E_tot = -32.1 eV for the cell shown
1.0
0.000 4.082 4.082
4.082 0.000 4.082
4.082 4.082 0.000
Sn W
4 2
direct
0.000 0.000 0.000
0.000 0.000 0.500
0.000 0.500 0.000
0.500 0.000 0.000
0.375 0.375 0.375
0.625 0.625 0.625


5.
Ga2CuAu (PBE, relaxed); theoretical density = 10.096 Mg/m³; SG = F-43m; crystal system = cubic; E_tot = -13.0 eV for the cell shown
1.0
0.000 3.204 3.204
3.204 0.000 3.204
3.204 3.204 0.000
Ga Cu Au
2 1 1
direct
0.000 0.000 0.000
0.250 0.250 0.250
0.750 0.750 0.750
0.500 0.500 0.500


6.
ThPdAu (PBE, relaxed); energy of formation from the pure elements = -0.6334 eV per atom; theoretical density = 11.964 Mg/m³; SG = F-43m; crystal system = cubic; E_tot = -17.8 eV for the cell shown
1.0
0.000 3.337 3.337
3.337 0.000 3.337
3.337 3.337 0.000
Th Pd Au
1 1 1
direct
0.000 0.000 0.000
0.750 0.750 0.750
0.500 0.500 0.500